[1]
# OsPt

A geometry-optimized OsPt structure (PBE, the Alexandria database). Values from VASP.

The structure in Quantum ESPRESSO input format:
```
&SYSTEM
  ibrav = 0, nat = 2, ntyp = 2
/
ATOMIC_SPECIES
Pt 195.08 Pt.upf
Os 190.23 Os.upf
CELL_PARAMETERS angstrom
-0.616 -3.125 -3.550
2.114 -2.815 -3.218
0.692 -4.469 -1.515
ATOMIC_POSITIONS crystal
Pt 0.500 0.500 0.500
Os 0.000 0.000 0.000
```

- Symmetry: R-3m (166)

[2]
# OsPt5

A geometry-optimized OsPt5 structure (PBE, the Alexandria database). Values from VASP.

The structure in Quantum ESPRESSO input format:
```
&SYSTEM
  ibrav = 0, nat = 6, ntyp = 2
/
ATOMIC_SPECIES
Pt 195.08 Pt.upf
Os 190.23 Os.upf
CELL_PARAMETERS angstrom
1.388 5.230 0.009
-1.388 5.230 0.009
0.000 1.866 6.408
ATOMIC_POSITIONS crystal
Pt 0.605 0.605 0.270
Pt 0.282 0.282 0.948
Pt 0.665 0.665 0.673
Pt 0.334 0.334 0.329
Pt 0.945 0.945 0.615
Os 0.001 0.001 0.998
```

- Symmetry: Cm (8)
- Relative energy among the computed polymorphs: 33 meV per atom

Number 1: DOS at the Fermi energy 2.57 states/eV/f.u., total energy -0.6199 Ry per atom. Number 2: DOS at the Fermi energy 9.58 states/eV/f.u., total energy -0.4994 Ry per atom.